VASP calculation (GGA-PBE) on a geometry-optimized BaLaPO2 structure.

```
BaLaPO2
1.0
4.5957 0.0000 0.0000
0.0000 4.5957 0.0000
0.0000 0.0000 5.8083
Ba La P O
1 1 1 2
Direct
0.0000 0.0000 0.0000
0.5000 0.5000 0.5000
0.5000 0.5000 0.0000
0.0000 0.5000 0.5000
0.5000 0.0000 0.5000
```

Output
Space group: P4/mmm (123)
Crystal system: tetragonal
N(E_F) in states/eV per cell: 5.51
Raw formation energy in meV per atom: -1632
E_tot in eV per atom: -6.067
Excess energy over the best structure of this formula in the dataset in meV per atom: 0

=====

VASP calculation (GGA-PBE) on a geometry-optimized HoPa2Cu9 structure.

```
HoPa2Cu9
1.0
2.5329 1.4624 8.4592
-2.5329 1.4624 8.4592
0.0000 -2.9247 8.4592
Ho Pa Cu
1 2 9
Direct
0.0000 0.0000 0.0000
0.1463 0.1463 0.1463
0.8537 0.8537 0.8537
0.0821 0.5808 0.5808
0.3327 0.3327 0.3327
0.4192 0.4192 0.9179
0.4192 0.9179 0.4192
0.5000 0.5000 0.5000
0.5808 0.0821 0.5808
0.5808 0.5808 0.0821
0.6673 0.6673 0.6673
0.9179 0.4192 0.4192
```

Output
Space group: R-3m (166)
Crystal system: trigonal
N(E_F) in states/eV per cell: 9.88
DFT formation energy in eV per atom: -0.0888
E_tot in eV per atom: -5.125

=====

VASP calculation (GGA-PBE) on a geometry-optimized ZrAsS2N structure.

```
ZrAsS2N
1.0
5.1046 0.0000 0.0000
0.0000 5.1046 0.0000
0.0000 0.0000 4.0012
Zr As S N
1 1 2 1
Direct
0.0000 0.0000 0.0000
0.5000 0.5000 0.5000
0.0000 0.5000 0.0000
0.5000 0.0000 0.0000
0.0000 0.0000 0.5000
```

Output
Space group: P4/mmm (123)
Crystal system: tetragonal
N(E_F) in states/eV per cell: 3.85
Raw formation energy in meV per atom: 195
E_tot in eV per atom: -5.760
Excess energy over the best structure of this formula in the dataset in meV per atom: 0

=====

VASP calculation (GGA-PBE) on a geometry-optimized KMn3P structure.

```
KMn3P
1.0
4.6991 0.0000 0.0000
0.0000 4.6991 0.0000
0.0000 0.0000 4.6991
K Mn P
1 3 1
Direct
0.0000 0.0000 0.0000
0.0000 0.5000 0.5000
0.5000 0.0000 0.5000
0.5000 0.5000 0.0000
0.5000 0.5000 0.5000
```

Output
Space group: Pm-3m (221)
Crystal system: cubic
N(E_F) in states/eV per cell: 7.48
DFT formation energy in eV per atom: 0.5229
E_tot in eV per atom: -6.280
Excess energy over the best structure of this formula in the dataset in meV per atom: 0

=====

VASP calculation (GGA-PBE) on a geometry-optimized K2LiThTe4 structure.

```
K2LiThTe4
1.0
-4.4436 4.9273 6.8196
4.4436 -4.9273 6.8196
4.4436 4.9273 -6.8196
K Li Th Te
4 2 2 8
Direct
0.0000 0.0000 0.0000
0.5000 0.0000 0.0000
0.5000 0.0000 0.5000
0.5000 0.5000 0.5000
0.0000 0.5000 0.5000
0.5000 0.5000 0.0000
0.0000 0.0000 0.5000
0.0000 0.5000 0.0000
0.2207 0.2478 0.9728
0.2250 0.7522 0.4728
0.2320 0.2922 0.5603
0.2320 0.6717 0.9397
0.7680 0.3283 0.0603
0.7680 0.7078 0.4397
0.7750 0.2478 0.5272
0.7793 0.7522 0.0272
```

Output
Space group: Imma (74)
Crystal system: orthorhombic
N(E_F) in states/eV per cell: 4.93
Raw formation energy in meV per atom: -1013
E_tot in eV per atom: -4.025

=====

VASP calculation (GGA-PBE) on a geometry-optimized SmTm2Ga3 structure.

```
SmTm2Ga3
1.0
-4.7557 5.2389 3.0094
4.7557 -5.2389 3.0094
4.7557 5.2389 -3.0094
Sm Tm Ga
2 4 6
Direct
0.4995 0.2495 0.2500
0.5005 0.7505 0.7500
0.1663 0.2501 0.9162
0.1661 0.7499 0.4162
0.8339 0.2501 0.5838
0.8337 0.7499 0.0838
0.0000 0.0000 0.5000
0.0000 0.2499 0.2499
0.0000 0.5000 0.0000
0.0000 0.7501 0.7501
0.5000 0.2499 0.7499
0.5000 0.7501 0.2501
```

Output
Space group: Imma (74)
Crystal system: orthorhombic
N(E_F) in states/eV per cell: 7.48
DFT formation energy in eV per atom: -0.3290
E_tot in eV per atom: -4.119

=====

VASP calculation (GGA-PBE) on a geometry-optimized DyTh2Sc structure.

```
DyTh2Sc
1.0
1.7021 0.9827 12.1845
-1.7021 0.9827 12.1845
0.0000 -1.9655 12.1845
Dy Th Sc
1 2 1
Direct
0.0000 0.0000 0.0000
0.0889 0.0889 0.0889
0.9111 0.9111 0.9111
0.5000 0.5000 0.5000
```

Output
Space group: R-3m (166)
Crystal system: trigonal
N(E_F) in states/eV per cell: 4.72
DFT formation energy in eV per atom: 0.2150
E_tot in eV per atom: -6.228
Excess energy over the best structure of this formula in the dataset in meV per atom: 174

=====

VASP calculation (GGA-PBE) on a geometry-optimized AcMgTi structure.

```
AcMgTi
1.0
3.4827 0.0000 0.0000
-1.7414 3.0161 0.0000
0.0000 0.0000 16.0906
Ac Mg Ti
2 2 2
Direct
0.0000 0.0000 0.1949
0.0000 0.0000 0.8051
0.0000 0.0000 0.5000
0.3333 0.6667 0.0000
0.3333 0.6667 0.3563
0.3333 0.6667 0.6437
```

Output
Space group: P-6m2 (187)
Crystal system: hexagonal
N(E_F) in states/eV per cell: 7.36
DFT formation energy in eV per atom: 0.4710
E_tot in eV per atom: -4.062

=====

VASP calculation (GGA-PBE) on a geometry-optimized Mg2SnH structure.

```
Mg2SnH
1.0
0.0000 3.3758 3.3758
3.3758 0.0000 3.3758
3.3758 3.3758 0.0000
Mg Sn H
2 1 1
Direct
0.2500 0.2500 0.2500
0.7500 0.7500 0.7500
0.0000 0.0000 0.0000
0.5000 0.5000 0.5000
```

Output
Space group: Fm-3m (225)
Crystal system: cubic
N(E_F) in states/eV per cell: 1.76
E_tot in eV per atom: -2.404
Excess energy over the best structure of this formula in the dataset in meV per atom: 231

=====

VASP calculation (GGA-PBE) on a geometry-optimized Pr4Sm5Ho4 structure.

```
Pr4Sm5Ho4
1.0
-6.5431 6.5431 2.5551
6.5431 -6.5431 2.5551
6.5431 6.5431 -2.5551
Pr Sm Ho
4 5 4
Direct
0.0780 0.6180 0.6960
0.3820 0.0780 0.4599
0.6180 0.9220 0.5401
0.9220 0.3820 0.3040
0.0000 0.0000 0.0000
0.3097 0.4597 0.7694
0.4597 0.6903 0.1499
0.5403 0.3097 0.8501
0.6903 0.5403 0.2306
0.1538 0.2306 0.3844
0.2306 0.8462 0.0769
0.7694 0.1538 0.9231
0.8462 0.7694 0.6156
```

Output
Space group: I4/m (87)
Crystal system: tetragonal
N(E_F) in states/eV per cell: 18.31
DFT formation energy in eV per atom: 0.0179
E_tot in eV per atom: -4.676

=====

VASP calculation (GGA-PBE) on a geometry-optimized VRe2Cl structure.

```
VRe2Cl
1.0
-3.6011 3.6011 2.3995
3.6011 -3.6011 2.3995
3.6011 3.6011 -2.3995
V Re Cl
2 4 2
Direct
0.0000 0.0000 0.0000
0.7500 0.2500 0.5000
0.1994 0.1250 0.5744
0.3750 0.8006 0.9256
0.5506 0.6250 0.4256
0.8750 0.4494 0.0744
0.2500 0.7500 0.5000
0.5000 0.5000 0.0000
```

Output
Space group: I-42d (122)
Crystal system: tetragonal
N(E_F) in states/eV per cell: 9.92
Raw formation energy in meV per atom: 1212
E_tot in eV per atom: -7.754
Excess energy over the best structure of this formula in the dataset in meV per atom: 205

=====

VASP calculation (GGA-PBE) on a geometry-optimized PSeN2 structure.

```
PSeN2
1.0
1.3934 0.8045 6.5467
-1.3934 0.8045 6.5467
0.0000 -1.6090 6.5467
P Se N
1 1 2
Direct
0.0000 0.0000 0.0000
0.5000 0.5000 0.5000
0.3805 0.3805 0.3805
0.6195 0.6195 0.6195
```

Output
Space group: R-3m (166)
Crystal system: trigonal
N(E_F) in states/eV per cell: 0.86
Raw formation energy in meV per atom: 408
E_tot in eV per atom: -5.978
Excess energy over the best structure of this formula in the dataset in meV per atom: 0

=====

VASP calculation (GGA-PBE) on a geometry-optimized SnSb2Rh8 structure.

```
SnSb2Rh8
1.0
-2.0349 3.6301 6.1209
2.0349 -3.6301 6.1209
2.0349 3.6301 -6.1209
Sn Sb Rh
1 2 8
Direct
0.0000 0.0000 0.0000
0.3317 0.3317 0.0000
0.6683 0.6683 0.0000
0.0864 0.8312 0.2552
0.1586 0.6586 0.5000
0.2683 0.5000 0.7683
0.4240 0.1688 0.2552
0.5760 0.8312 0.7448
0.7317 0.5000 0.2317
0.8414 0.3414 0.5000
0.9136 0.1688 0.7448
```

Output
Space group: Immm (71)
Crystal system: orthorhombic
N(E_F) in states/eV per cell: 9.32
Raw formation energy in meV per atom: -246
E_tot in eV per atom: -6.706

=====

VASP calculation (GGA-PBE) on a geometry-optimized Cs2TiCuI6 structure.

```
Cs2TiCuI6
1.0
-4.3024 4.9539 4.8257
4.3024 -4.9539 4.8257
4.3024 4.9539 -4.8257
Cs Ti Cu I
2 1 1 6
Direct
0.2417 0.0000 0.2417
0.7583 0.0000 0.7583
0.4834 0.4834 0.0000
0.8458 0.3458 0.5000
0.2255 0.5110 0.7145
0.2887 0.0572 0.7685
0.2887 0.5202 0.2315
0.7190 0.4909 0.7718
0.7190 0.9472 0.2282
0.7965 0.5110 0.2855
```

Output
Space group: Imm2 (44)
Crystal system: orthorhombic
N(E_F) in states/eV per cell: 6.37
Raw formation energy in meV per atom: -923
E_tot in eV per atom: -3.223
Excess energy over the best structure of this formula in the dataset in meV per atom: 0

=====

VASP calculation (GGA-PBE) on a geometry-optimized BaAlRh2 structure.

```
BaAlRh2
1.0
-2.0303 2.8183 3.7354
2.0303 -2.8183 3.7354
2.0303 2.8183 -3.7354
Ba Al Rh
1 1 2
Direct
0.0000 0.0000 0.0000
0.5000 0.5000 0.0000
0.3041 0.8041 0.5000
0.6959 0.1959 0.5000
```

Output
Space group: Immm (71)
Crystal system: orthorhombic
N(E_F) in states/eV per cell: 2.63
DFT formation energy in eV per atom: -0.0816
E_tot in eV per atom: -5.174
Excess energy over the best structure of this formula in the dataset in meV per atom: 389

=====

VASP calculation (GGA-PBE) on a geometry-optimized HfC3F structure.

```
HfC3F
1.0
3.6915 0.0000 0.0000
0.0000 3.6915 0.0000
0.0000 0.0000 3.6915
Hf C F
1 3 1
Direct
0.0000 0.0000 0.0000
0.0000 0.5000 0.5000
0.5000 0.0000 0.5000
0.5000 0.5000 0.0000
0.5000 0.5000 0.5000
```

Output
Space group: Pm-3m (221)
Crystal system: cubic
N(E_F) in states/eV per cell: 1.81
Raw formation energy in meV per atom: 1980
E_tot in eV per atom: -5.919
Excess energy over the best structure of this formula in the dataset in meV per atom: 0

=====

VASP calculation (GGA-PBE) on a geometry-optimized Sm2Hg3Au structure.

```
Sm2Hg3Au
1.0
3.4737 0.0000 0.0000
0.0000 4.9428 0.0000
0.0000 0.0000 8.5723
Sm Hg Au
2 3 1
Direct
0.0000 0.0000 0.0000
0.0000 0.5000 0.4731
0.5000 0.0000 0.6491
0.5000 0.5000 0.1532
0.5000 0.5000 0.8176
0.5000 0.0000 0.3185
```

Output
Space group: Pmm2 (25)
Crystal system: orthorhombic
N(E_F) in states/eV per cell: 3.50
DFT formation energy in eV per atom: -0.5121
E_tot in eV per atom: -2.782

=====

VASP calculation (GGA-PBE) on a geometry-optimized Li3Ca2Mg structure.

```
Li3Ca2Mg
1.0
5.3417 -3.0559 0.0000
5.3417 3.0559 0.0000
-3.5678 0.0000 5.0600
Li Ca Mg
3 2 1
Direct
0.0000 0.0000 0.0000
0.0000 0.5000 0.0000
0.5000 0.0000 0.0000
0.3745 0.3745 0.6229
0.6255 0.6255 0.3771
0.0000 0.0000 0.5000
```

Output
Space group: C2/m (12)
Crystal system: monoclinic
N(E_F) in states/eV per cell: 4.76
DFT formation energy in eV per atom: -0.0474
E_tot in eV per atom: -1.937
Excess energy over the best structure of this formula in the dataset in meV per atom: 0

=====

VASP calculation (GGA-PBE) on a geometry-optimized BaPrSe2 structure.

```
BaPrSe2
1.0
2.1691 1.2524 7.7961
-2.1691 1.2524 7.7961
0.0000 -2.5047 7.7961
Ba Pr Se
1 1 2
Direct
0.0000 0.0000 0.0000
0.8268 0.8268 0.8268
0.2368 0.2368 0.2368
0.4212 0.4212 0.4212
```

Output
Space group: R3m (160)
Crystal system: trigonal
N(E_F) in states/eV per cell: 2.32
Raw formation energy in meV per atom: -1854
E_tot in eV per atom: -5.271
Excess energy over the best structure of this formula in the dataset in meV per atom: 67

=====

VASP calculation (GGA-PBE) on a geometry-optimized CePr2SmDy5 structure.

```
CePr2SmDy5
1.0
-4.3287 4.3287 7.8604
4.3287 -4.3287 7.8604
4.3287 4.3287 -7.8604
Ce Pr Sm Dy
2 4 2 10
Direct
0.2500 0.7500 0.5000
0.7500 0.2500 0.5000
0.1210 0.6210 0.7419
0.3790 0.1210 0.5000
0.6210 0.8790 0.5000
0.8790 0.3790 0.2581
0.2500 0.2500 0.0000
0.7500 0.7500 0.0000
0.0000 0.0000 0.0000
0.0633 0.1550 0.5000
0.1550 0.6550 0.0916
0.3450 0.4367 0.5000
0.4367 0.9367 0.0916
0.5000 0.5000 0.0000
0.5633 0.0633 0.9084
0.6550 0.5633 0.5000
0.8450 0.3450 0.9084
0.9367 0.8450 0.5000
```

Output
Space group: I4/mcm (140)
Crystal system: tetragonal
N(E_F) in states/eV per cell: 30.18
DFT formation energy in eV per atom: 0.2658
E_tot in eV per atom: -4.537

=====

VASP calculation (GGA-PBE) on a geometry-optimized Hf5Zr2In4 structure.

```
Hf5Zr2In4
1.0
-1.5480 4.2076 10.7537
1.5480 -4.2076 10.7537
1.5480 4.2076 -10.7537
Hf Zr In
5 2 4
Direct
0.0000 0.0000 0.0000
0.1777 0.3502 0.8275
0.4774 0.6498 0.8275
0.5226 0.3502 0.1725
0.8223 0.6498 0.1725
0.2497 0.7497 0.5000
0.7503 0.2503 0.5000
0.1150 0.6150 0.5000
0.3240 0.5000 0.8240
0.6760 0.5000 0.1760
0.8850 0.3850 0.5000
```

Output
Space group: Immm (71)
Crystal system: orthorhombic
N(E_F) in states/eV per cell: 6.35
DFT formation energy in eV per atom: 0.3895
E_tot in eV per atom: -6.685
Excess energy over the best structure of this formula in the dataset in meV per atom: 389

=====

VASP calculation (GGA-PBE) on a geometry-optimized BaGaGeAu3 structure.

```
BaGaGeAu3
1.0
3.4228 -6.5460 0.0000
3.4228 6.5460 0.0000
0.0000 0.0000 6.8639
Ba Ga Ge Au
2 2 2 6
Direct
0.2409 0.7591 0.7500
0.7591 0.2409 0.2500
0.4783 0.5217 0.2500
0.5217 0.4783 0.7500
0.0980 0.9020 0.2500
0.9020 0.0980 0.7500
0.2178 0.2178 0.0000
0.2178 0.2178 0.5000
0.2882 0.7118 0.2500
0.7118 0.2882 0.7500
0.7822 0.7822 0.0000
0.7822 0.7822 0.5000
```

Output
Space group: Cmcm (63)
Crystal system: orthorhombic
N(E_F) in states/eV per cell: 4.99
DFT formation energy in eV per atom: -0.3995
E_tot in eV per atom: -3.633

=====

VASP calculation (GGA-PBE) on a geometry-optimized LaTcHg2 structure.

```
LaTcHg2
1.0
4.2931 0.0000 0.0000
0.0000 4.2931 0.0000
0.0000 0.0000 4.8694
La Tc Hg
1 1 2
Direct
0.0000 0.0000 0.0000
0.5000 0.5000 0.0000
0.0000 0.5000 0.5000
0.5000 0.0000 0.5000
```

Output
Space group: P4/mmm (123)
Crystal system: tetragonal
N(E_F) in states/eV per cell: 3.71
DFT formation energy in eV per atom: 0.1963
E_tot in eV per atom: -3.778
Excess energy over the best structure of this formula in the dataset in meV per atom: 64

=====

VASP calculation (GGA-PBE) on a geometry-optimized Al2ZnAu8 structure.

```
Al2ZnAu8
1.0
4.8876 0.0000 0.0000
-0.6615 6.0057 0.0000
-2.2542 -2.6928 6.6181
Al Zn Au
2 1 8
Direct
0.2330 0.1289 0.3230
0.7670 0.8711 0.6770
0.5000 0.5000 0.0000
0.1331 0.6370 0.2391
0.2086 0.8543 0.9628
0.2829 0.0546 0.6626
0.3200 0.5434 0.6238
0.6800 0.4566 0.3762
0.7171 0.9454 0.3374
0.7914 0.1457 0.0372
0.8669 0.3630 0.7609
```

Output
Space group: P-1 (2)
Crystal system: triclinic
N(E_F) in states/eV per cell: 2.86
DFT formation energy in eV per atom: -0.2213
E_tot in eV per atom: -3.401
Excess energy over the best structure of this formula in the dataset in meV per atom: 0

=====

VASP calculation (GGA-PBE) on a geometry-optimized TlRe2Rh structure.

```
TlRe2Rh
1.0
0.0000 3.2031 3.2031
3.2031 0.0000 3.2031
3.2031 3.2031 0.0000
Tl Re Rh
1 2 1
Direct
0.0000 0.0000 0.0000
0.2500 0.2500 0.2500
0.7500 0.7500 0.7500
0.5000 0.5000 0.5000
```

Output
Space group: Fm-3m (225)
Crystal system: cubic
N(E_F) in states/eV per cell: 7.67
DFT formation energy in eV per atom: 0.9883
E_tot in eV per atom: -7.665
Excess energy over the best structure of this formula in the dataset in meV per atom: 662